(1)
A plane-wave DFT calculation with PBE was carried out for Cs2BRhBr6 after structural relaxation. Values from VASP.

**Formation energy from raw total energies**: -5.69 eV per formula unit
**Space group**: I4/mmm

Cell and atoms, written as Quantum ESPRESSO input:
```
&SYSTEM
  ibrav = 0, nat = 10, ntyp = 4
/
ATOMIC_SPECIES
Cs 132.91 Cs.upf
Br 79.90 Br.upf
Rh 102.91 Rh.upf
B 10.81 B.upf
ATOMIC_POSITIONS crystal
Cs 0.2500 0.7500 0.5000
Cs 0.7500 0.2500 0.5000
Br 0.7363 0.2637 0.0000
Br 0.7912 0.7912 0.4176
Br 0.2637 0.2637 0.0000
Br 0.7363 0.7363 0.0000
Br 0.2088 0.2088 0.5824
Br 0.2637 0.7363 0.0000
Rh 0.0000 0.0000 0.0000
B 0.5000 0.5000 0.0000
CELL_PARAMETERS angstrom
7.1145 0.0000 0.0000
0.0000 7.1145 0.0000
3.5573 3.5573 6.0299
```



(2)
A plane-wave DFT calculation with PBE was carried out for MnCu after structural relaxation. Values from VASP.

**Formation enthalpy at 0 K**: 0.304 eV per atom
**Space group**: P6_3/mmc

Cell and atoms, written as Quantum ESPRESSO input:
```
&SYSTEM
  ibrav = 0, nat = 12, ntyp = 2
/
ATOMIC_SPECIES
Mn 54.94 Mn.upf
Cu 63.55 Cu.upf
ATOMIC_POSITIONS crystal
Mn 0.1160 0.5580 0.7500
Mn 0.4420 0.5580 0.7500
Mn 0.5580 0.1160 0.2500
Mn 0.4420 0.8840 0.7500
Mn 0.5580 0.4420 0.2500
Mn 0.8840 0.4420 0.2500
Cu 0.3015 0.1507 0.7500
Cu 0.1507 0.8493 0.2500
Cu 0.8493 0.1507 0.7500
Cu 0.1507 0.3015 0.2500
Cu 0.6985 0.8493 0.2500
Cu 0.8493 0.6985 0.7500
CELL_PARAMETERS angstrom
-3.7543 5.3156 -3.5370
2.6220 -5.8142 -3.7658
-2.6346 -1.5199 0.5123
```



(3)
A plane-wave DFT calculation with PBE was carried out for LiBAuN2 after structural relaxation. Values from VASP.

**Formation energy from raw total energies**: 4.85 eV per formula unit
**Space group**: P4/mmm

Cell and atoms, written as Quantum ESPRESSO input:
```
&SYSTEM
  ibrav = 0, nat = 5, ntyp = 4
/
ATOMIC_SPECIES
N 14.01 N.upf
Au 196.97 Au.upf
Li 6.94 Li.upf
B 10.81 B.upf
ATOMIC_POSITIONS crystal
N 0.0000 0.0000 0.5000
N 0.5000 0.0000 0.0000
Au 0.5000 0.5000 0.5000
Li 0.0000 0.5000 0.0000
B 0.0000 0.0000 0.0000
CELL_PARAMETERS angstrom
-0.9592 -3.0115 -0.2388
0.6507 -0.7635 7.0156
-3.0069 0.9276 0.3798
```



(4)
A plane-wave DFT calculation with PBE was carried out for LaNb3Te after structural relaxation. Values from VASP.

**Formation energy from raw total energies**: 8.58 eV per formula unit
**Distance to the lowest polymorph of the same formula**: 4.12 eV/f.u.
**Space group**: Pm-3m

Cell and atoms, written as Quantum ESPRESSO input:
```
&SYSTEM
  ibrav = 0, nat = 5, ntyp = 3
/
ATOMIC_SPECIES
Nb 92.91 Nb.upf
Te 127.60 Te.upf
La 138.91 La.upf
ATOMIC_POSITIONS crystal
Nb 0.5000 0.0000 0.0000
Nb 0.0000 0.0000 0.5000
Nb 0.0000 0.5000 0.0000
Te 0.5000 0.5000 0.5000
La 0.0000 0.0000 0.0000
CELL_PARAMETERS angstrom
4.9931 0.0000 0.0000
0.0000 4.9931 0.0000
0.0000 0.0000 4.9931
```



(5)
A plane-wave DFT calculation with PBE was carried out for BiPHNO after structural relaxation. Values from VASP.

**Distance to the lowest polymorph of the same formula**: 0.51 eV/f.u.
**Space group**: P1

Cell and atoms, written as Quantum ESPRESSO input:
```
&SYSTEM
  ibrav = 0, nat = 5, ntyp = 5
/
ATOMIC_SPECIES
O 16.00 O.upf
Bi 208.98 Bi.upf
H 1.01 H.upf
P 30.97 P.upf
N 14.01 N.upf
ATOMIC_POSITIONS crystal
O 0.9740 0.6235 0.4269
Bi 0.4378 0.3625 0.7847
H 0.2877 0.9952 0.3790
P 0.9338 0.9774 0.3392
N 0.9733 0.0930 0.9852
CELL_PARAMETERS angstrom
-1.3998 1.0862 3.3286
2.1496 -2.1435 3.5235
2.6631 3.5110 1.7857
```



(6)
A plane-wave DFT calculation with PBE was carried out for CaZnGe2O6 after structural relaxation. Values from VASP.

**Formation energy from raw total energies**: -19.41 eV per formula unit
**Distance to the lowest polymorph of the same formula**: 0.04 eV/f.u.
**Space group**: C2/c

Cell and atoms, written as Quantum ESPRESSO input:
```
&SYSTEM
  ibrav = 0, nat = 20, ntyp = 4
/
ATOMIC_SPECIES
O 16.00 O.upf
Ca 40.08 Ca.upf
Ge 72.64 Ge.upf
Zn 65.41 Zn.upf
ATOMIC_POSITIONS crystal
O 0.0397 0.6799 0.5990
O 0.6738 0.7926 0.9612
O 0.9091 0.3793 0.8464
O 0.0909 0.6207 0.1536
O 0.8262 0.0388 0.2074
O 0.4091 0.8464 0.3793
O 0.4603 0.4010 0.3201
O 0.9603 0.3201 0.4010
O 0.3262 0.2074 0.0388
O 0.5909 0.1536 0.6207
O 0.1738 0.9612 0.7926
O 0.5397 0.5990 0.6799
Ca 0.2500 0.8915 0.1085
Ca 0.7500 0.1085 0.8915
Ge 0.2974 0.7748 0.6119
Ge 0.7026 0.2252 0.3881
Ge 0.2026 0.3881 0.2252
Ge 0.7974 0.6119 0.7748
Zn 0.7500 0.7709 0.2291
Zn 0.2500 0.2291 0.7709
CELL_PARAMETERS angstrom
5.7369 -0.0108 -0.0112
1.8255 6.9687 -0.0237
1.8255 -0.2820 6.9631
```



(7)
A plane-wave DFT calculation with PBE was carried out for TmPaTl2 after structural relaxation. Values from VASP.

**Formation enthalpy at 0 K**: -0.014 eV per atom
**Distance to the lowest polymorph of the same formula**: 0.00 eV/f.u.
**Space group**: P4/mmm

Cell and atoms, written as Quantum ESPRESSO input:
```
&SYSTEM
  ibrav = 0, nat = 4, ntyp = 3
/
ATOMIC_SPECIES
Tl 204.38 Tl.upf
Tm 168.93 Tm.upf
Pa 231.04 Pa.upf
ATOMIC_POSITIONS crystal
Tl 0.0000 0.0000 0.2432
Tl 0.0000 0.0000 0.7568
Tm 0.5000 0.5000 0.0000
Pa 0.5000 0.5000 0.5000
CELL_PARAMETERS angstrom
3.3939 0.0000 0.0000
0.0000 3.3939 0.0000
0.0000 0.0000 9.0813
```



(8)
A plane-wave DFT calculation with PBE was carried out for CaTlBr2 after structural relaxation. Values from VASP.

**Formation energy from raw total energies**: -4.84 eV per formula unit
**Distance to the lowest polymorph of the same formula**: 0.52 eV/f.u.
**Space group**: P4/mmm

Cell and atoms, written as Quantum ESPRESSO input:
```
&SYSTEM
  ibrav = 0, nat = 4, ntyp = 3
/
ATOMIC_SPECIES
Tl 204.38 Tl.upf
Ca 40.08 Ca.upf
Br 79.90 Br.upf
ATOMIC_POSITIONS crystal
Tl 0.5000 0.5000 0.7500
Ca 0.5000 0.5000 0.2500
Br 0.0000 0.0000 0.0885
Br 0.0000 0.0000 0.4115
CELL_PARAMETERS angstrom
-2.2480 -0.2215 -2.8218
2.3971 -2.0692 -1.7450
-4.4095 -8.6429 4.1914
```



(9)
A plane-wave DFT calculation with PBE was carried out for MnW2Se after structural relaxation. Values from VASP.

**Formation energy from raw total energies**: 2.05 eV per formula unit
**Space group**: P2/m

Cell and atoms, written as Quantum ESPRESSO input:
```
&SYSTEM
  ibrav = 0, nat = 4, ntyp = 3
/
ATOMIC_SPECIES
Se 78.96 Se.upf
W 183.84 W.upf
Mn 54.94 Mn.upf
ATOMIC_POSITIONS crystal
Se 0.5000 0.7500 0.7500
W 0.0000 0.9928 0.0119
W 0.0000 0.5072 0.4881
Mn 0.5000 0.2500 0.2500
CELL_PARAMETERS angstrom
4.0577 0.0000 0.0000
0.0000 2.8682 0.0273
0.0000 1.4154 5.1998
```



(10)
A plane-wave DFT calculation with PBE was carried out for MgOsBr after structural relaxation. Values from VASP.

**Formation energy from raw total energies**: 3.20 eV per formula unit
**Distance to the lowest polymorph of the same formula**: 1.55 eV/f.u.
**Space group**: F-43m

Cell and atoms, written as Quantum ESPRESSO input:
```
&SYSTEM
  ibrav = 0, nat = 3, ntyp = 3
/
ATOMIC_SPECIES
Os 190.23 Os.upf
Mg 24.30 Mg.upf
Br 79.90 Br.upf
ATOMIC_POSITIONS crystal
Os 0.7500 0.7500 0.7500
Mg 0.5000 0.5000 0.5000
Br 0.0000 0.0000 0.0000
CELL_PARAMETERS angstrom
4.4181 0.0000 0.0000
2.2091 3.8262 0.0000
2.2091 1.2754 3.6074
```



(11)
A plane-wave DFT calculation with PBE was carried out for ZrRe2Se after structural relaxation. Values from VASP.

**Formation energy from raw total energies**: 0.78 eV per formula unit
**Space group**: C2/m

Cell and atoms, written as Quantum ESPRESSO input:
```
&SYSTEM
  ibrav = 0, nat = 4, ntyp = 3
/
ATOMIC_SPECIES
Zr 91.22 Zr.upf
Re 186.21 Re.upf
Se 78.96 Se.upf
ATOMIC_POSITIONS crystal
Zr 0.5000 0.5000 0.0000
Re 0.5000 0.0000 0.5000
Re 0.0000 0.0000 0.0000
Se 0.0000 0.5000 0.5000
CELL_PARAMETERS angstrom
-3.8014 -0.7364 -1.8937
2.7472 -4.9533 1.2945
-1.2150 -0.9557 2.7655
```



(12)
A plane-wave DFT calculation with PBE was carried out for Ac8TbSm4 after structural relaxation. Values from VASP.

**Formation enthalpy at 0 K**: 0.398 eV per atom
**Space group**: R-3m

Cell and atoms, written as Quantum ESPRESSO input:
```
&SYSTEM
  ibrav = 0, nat = 13, ntyp = 3
/
ATOMIC_SPECIES
Ac 227.00 Ac.upf
Sm 150.36 Sm.upf
Tb 158.93 Tb.upf
ATOMIC_POSITIONS crystal
Ac 0.4816 0.2408 0.2400
Ac 0.0007 0.2415 0.7600
Ac 0.5183 0.7591 0.2774
Ac 0.9993 0.2408 0.2401
Ac 0.4817 0.2409 0.7226
Ac 0.5184 0.7592 0.7600
Ac 0.0007 0.7592 0.7599
Ac 0.9993 0.7585 0.2400
Sm 0.0000 0.5000 0.0000
Sm 0.5000 0.0000 0.0000
Sm 0.0000 0.0000 0.0000
Sm 0.5000 0.5000 0.0000
Tb 0.0000 0.5000 0.5000
CELL_PARAMETERS angstrom
-4.2237 10.4273 -3.6283
-7.4492 -8.6395 3.0988
5.3373 -2.4754 5.9288
```



Number 1: energy -3.1465 eV/atom. Number 2: energy -6.3292 eV/atom. Number 3: energy -4.7347 eV/atom. Number 4: energy -5.9388 eV/atom. Number 5: energy -5.5782 eV/atom. Number 6: energy -6.1672 eV/atom. Number 7: energy -4.6891 eV/atom. Number 8: energy -3.1376 eV/atom. Number 9: energy -9.1276 eV/atom. Number 10: energy -3.7641 eV/atom. Number 11: energy -9.0363 eV/atom. Number 12: energy -3.9384 eV/atom.